Entry 1:
This record from Alexandria via LeMat-Bulk describes a relaxed BaRh2Cl crystal. The functional is GGA-PBE.

Output
Excess energy over the best structure of this formula in the dataset   0.160 eV/atom
Space-group type   No. 44
Energy   -0.3507 Ry/atom
Raw formation energy   -0.1538 eV per atom
M_tot   1.017 μB/f.u.

a b c (Å): 3.8588 5.9127 8.5915
angles (deg): 90.00 90.00 90.00
With the nearest neighbours (Å) after each atom.
Positions (direct):
Ba (0.0000, 0.0000, 0.0000)  4 Cl 3.25-3.40, 8 Rh 3.28-3.53
Ba (0.5000, 0.5000, 0.5000)  4 Cl 3.25-3.40, 8 Rh 3.28-3.53
Rh (0.0000, 0.0000, 0.5107)  2 Rh 2.45, 2 Cl 2.50
Rh (0.0000, 0.5000, 0.8344)  2 Rh 2.45
Rh (0.5000, 0.0000, 0.3344)  2 Rh 2.45
Rh (0.5000, 0.5000, 0.0107)  2 Rh 2.45, 2 Cl 2.50
Cl (0.0000, 0.5000, 0.1958)  2 Rh 2.50
Cl (0.5000, 0.0000, 0.6958)  2 Rh 2.50

---

Entry 2:
This record from Alexandria via LeMat-Bulk describes a relaxed Nb5Pt3 crystal. The functional is GGA-PBE.

Output
Formation energy from the elements   -3.75 eV per formula unit
Space-group type   No. 65
Energy   -0.6636 Ry/atom
M_tot   0.000 μB/f.u.

a b c (Å): 7.2397 8.7311 4.3317
angles (deg): 90.00 90.00 90.00
With the nearest neighbours (Å) after each atom.
Positions (direct):
Nb (0.0000, 0.0000, 0.0000)  4 Pt 2.74, 4 Nb 2.84
Nb (0.0000, 0.2799, 0.5000)  6 Pt 2.74-2.96, 4 Nb 2.83
Nb (0.0000, 0.7201, 0.5000)  6 Pt 2.74-2.96, 4 Nb 2.83
Nb (0.2500, 0.2500, 0.0000)  6 Nb 2.83-2.84, 6 Pt 2.84-3.08
Nb (0.2500, 0.7500, 0.0000)  6 Nb 2.83-2.84, 6 Pt 2.84-3.08
Nb (0.5000, 0.2201, 0.5000)  6 Pt 2.74-2.96, 4 Nb 2.83
Nb (0.5000, 0.5000, 0.0000)  4 Pt 2.74, 4 Nb 2.84
Nb (0.5000, 0.7799, 0.5000)  6 Pt 2.74-2.96, 4 Nb 2.83
Nb (0.7500, 0.2500, 0.0000)  6 Nb 2.83-2.84, 6 Pt 2.84-3.08
Nb (0.7500, 0.7500, 0.0000)  6 Nb 2.83-2.84, 6 Pt 2.84-3.08
Pt (0.0000, 0.5000, 0.0000)  8 Nb 2.84-2.90, 4 Pt 2.91
Pt (0.2308, 0.0000, 0.5000)  6 Nb 2.74-2.96, 2 Pt 2.91
Pt (0.2692, 0.5000, 0.5000)  6 Nb 2.74-2.96, 2 Pt 2.91
Pt (0.5000, 0.0000, 0.0000)  8 Nb 2.84-2.90, 4 Pt 2.91
Pt (0.7308, 0.5000, 0.5000)  6 Nb 2.74-2.96, 2 Pt 2.91
Pt (0.7692, 0.0000, 0.5000)  6 Nb 2.74-2.96, 2 Pt 2.91

---

Entry 3:
This record from Alexandria via LeMat-Bulk describes a relaxed La2InCu crystal. The functional is GGA-PBE.

Output
Formation energy from the elements   -1.00 eV per formula unit
Space-group type   No. 123
Energy   -0.3251 Ry/atom
M_tot   0.014 μB/f.u.

a b c (Å): 5.4142 5.4142 3.8715
angles (deg): 90.00 90.00 90.00
With the nearest neighbours (Å) after each atom.
Positions (direct):
La (0.0000, 0.5000, 0.0000)  4 Cu 3.33, 4 In 3.33
La (0.5000, 0.0000, 0.0000)  4 Cu 3.33, 4 In 3.33
In (0.0000, 0.0000, 0.5000)  8 La 3.33
Cu (0.5000, 0.5000, 0.5000)  8 La 3.33

---

Entry 4:
This record from Alexandria via LeMat-Bulk describes a relaxed NaTeSe2Br crystal. The functional is GGA-PBE.

Output
Excess energy over the best structure of this formula in the dataset   0.661 eV/atom
Space-group type   No. 123
Energy   -0.1606 Ry/atom
Raw formation energy   0.4348 eV per atom
M_tot   0.005 μB/f.u.

a b c (Å): 5.2839 5.2839 5.0335
angles (deg): 90.00 90.00 90.00
With the nearest neighbours (Å) after each atom.
Positions (direct):
Na (0.0000, 0.0000, 0.0000)  2 Br 2.52, 4 Se 2.64
Te (0.5000, 0.5000, 0.5000)  8 Se 3.65, 4 Br 3.74
Se (0.0000, 0.5000, 0.0000)  2 Na 2.64
Se (0.5000, 0.0000, 0.0000)  2 Na 2.64
Br (0.0000, 0.0000, 0.5000)  2 Na 2.52

---

Entry 5:
This record from Alexandria via LeMat-Bulk describes a relaxed Pa4Ga3Cu crystal. The functional is GGA-PBE.

Output
Formation energy from the elements   -1.10 eV per formula unit
Space-group type   No. 25
Energy   -0.4801 Ry/atom
M_tot   0.000 μB/f.u.

a b c (Å): 3.2306 4.4183 11.7315
angles (deg): 90.00 90.00 90.00
With the nearest neighbours (Å) after each atom.
Positions (direct):
Pa (0.0000, 0.0000, 0.0000)  5 Ga 3.06-3.15, 2 Cu 3.14, 6 Pa 3.23-3.27
Pa (0.0000, 0.5000, 0.3447)  4 Cu 3.05, 3 Ga 3.11-3.13, 6 Pa 3.23-3.25
Pa (0.5000, 0.0000, 0.4933)  6 Ga 3.06-3.23, 1 Cu 3.10, 6 Pa 3.23-3.25
Pa (0.5000, 0.5000, 0.8472)  7 Ga 3.05-3.22, 6 Pa 3.23-3.27
Ga (0.0000, 0.0000, 0.7316)  2 Ga 2.63
Ga (0.0000, 0.5000, 0.6097)  2 Ga 2.63
Ga (0.5000, 0.5000, 0.1158)  2 Cu 2.58
Cu (0.5000, 0.0000, 0.2293)  2 Ga 2.58

---

Entry 6:
This record from Alexandria via LeMat-Bulk describes a relaxed Rb2SrTe2O6 crystal. The functional is GGA-PBE.

Output
Space-group type   No. 12
Energy   -0.3860 Ry/atom
Raw formation energy   -1.6479 eV per atom
M_tot   0.000 μB/f.u.

a b c (Å): 6.0133 6.0133 7.8319
angles (deg): 108.91 108.91 65.80
With the nearest neighbours (Å) after each atom.
Positions (direct):
Rb (0.2012, 0.2012, 0.1466)  3 O 2.80-2.92
Rb (0.7988, 0.7988, 0.8534)  3 O 2.80-2.92
Sr (0.0000, 0.0000, 0.5000)  6 O 2.56-2.59
Te (0.4142, 0.4142, 0.7570)  3 O 1.87-1.90
Te (0.5858, 0.5858, 0.2430)  3 O 1.87-1.90
O (0.2424, 0.6975, 0.2471)  1 Te 1.90
O (0.2607, 0.2607, 0.5271)  1 Te 1.87
O (0.3025, 0.7576, 0.7529)  1 Te 1.90
O (0.6975, 0.2424, 0.2471)  1 Te 1.90
O (0.7393, 0.7393, 0.4729)  1 Te 1.87
O (0.7576, 0.3025, 0.7529)  1 Te 1.90

---

Entry 7:
This record from Alexandria via LeMat-Bulk describes a relaxed TbPr3Tm4 crystal. The functional is GGA-PBE.

Output
Formation energy from the elements   0.21 eV per formula unit
Excess energy over the best structure of this formula in the dataset   0.000 eV/atom
Space-group type   No. 31
Energy   -0.3366 Ry/atom
M_tot   0.001 μB/f.u.

a b c (Å): 11.4574 7.3118 6.2771
angles (deg): 90.00 90.00 90.00
With the nearest neighbours (Å) after each atom.
Positions (direct):
Tb (0.0000, 0.1318, 0.0000)  6 Tm 3.53-3.75, 6 Pr 3.57-3.68
Tb (0.5000, 0.8682, 0.5000)  6 Tm 3.53-3.75, 6 Pr 3.57-3.68
Pr (0.0000, 0.8711, 0.5007)  4 Pr 3.56-3.58, 6 Tm 3.57-3.72, 2 Tb 3.67-3.68
Pr (0.2503, 0.1280, 0.3383)  6 Tm 3.56-3.72, 4 Pr 3.56-3.65, 2 Tb 3.57-3.58
Pr (0.2497, 0.8720, 0.8383)  6 Tm 3.56-3.72, 4 Pr 3.56-3.65, 2 Tb 3.57-3.58
Pr (0.5000, 0.1289, 0.0007)  4 Pr 3.56-3.58, 6 Tm 3.57-3.72, 2 Tb 3.67-3.68
Pr (0.7497, 0.1280, 0.3383)  6 Tm 3.56-3.72, 4 Pr 3.56-3.65, 2 Tb 3.57-3.58
Pr (0.7503, 0.8720, 0.8383)  6 Tm 3.56-3.72, 4 Pr 3.56-3.65, 2 Tb 3.57-3.58
Tm (0.0000, 0.3802, 0.5039)  6 Tm 3.53-3.60, 4 Pr 3.56-3.72, 2 Tb 3.61-3.65
Tm (0.0000, 0.6195, 0.0022)  6 Tm 3.50-3.60, 4 Pr 3.56-3.65, 2 Tb 3.57-3.75
Tm (0.2485, 0.3806, 0.8360)  6 Tm 3.50-3.59, 1 Tb 3.53, 5 Pr 3.57-3.72
Tm (0.2515, 0.6194, 0.3360)  6 Tm 3.50-3.59, 1 Tb 3.53, 5 Pr 3.57-3.72
Tm (0.5000, 0.3805, 0.5022)  6 Tm 3.50-3.60, 4 Pr 3.56-3.65, 2 Tb 3.57-3.75
Tm (0.5000, 0.6198, 0.0039)  6 Tm 3.53-3.60, 4 Pr 3.56-3.72, 2 Tb 3.61-3.65
Tm (0.7485, 0.6194, 0.3360)  6 Tm 3.50-3.59, 1 Tb 3.53, 5 Pr 3.57-3.72
Tm (0.7515, 0.3806, 0.8360)  6 Tm 3.50-3.59, 1 Tb 3.53, 5 Pr 3.57-3.72

---

Entry 8:
This record from Alexandria via LeMat-Bulk describes a relaxed YScAu2 crystal. The functional is GGA-PBE.

Output
Formation energy from the elements   -1.75 eV per formula unit
Excess energy over the best structure of this formula in the dataset   0.390 eV/atom
Space-group type   No. 122
Energy   -0.3877 Ry/atom
M_tot   0.000 μB/f.u.

a b c (Å): 7.4640 7.4640 7.2227
angles (deg): 90.00 90.00 90.00
With the nearest neighbours (Å) after each atom.
Positions (direct):
Y (0.0000, 0.0000, 0.0000)  4 Au 2.90
Y (0.0000, 0.5000, 0.2500)  4 Au 2.90
Y (0.5000, 0.0000, 0.7500)  4 Au 2.90
Y (0.5000, 0.5000, 0.5000)  4 Au 2.90
Sc (0.0000, 0.0000, 0.5000)  4 Au 2.68
Sc (0.0000, 0.5000, 0.7500)  4 Au 2.68
Sc (0.5000, 0.0000, 0.2500)  4 Au 2.68
Sc (0.5000, 0.5000, 0.0000)  4 Au 2.68
Au (0.2278, 0.7500, 0.6250)  2 Sc 2.68, 2 Y 2.90
Au (0.2500, 0.2278, 0.3750)  2 Sc 2.68, 2 Y 2.90
Au (0.2500, 0.2722, 0.8750)  2 Sc 2.68, 2 Y 2.90
Au (0.2722, 0.7500, 0.1250)  2 Sc 2.68, 2 Y 2.90
Au (0.7278, 0.2500, 0.1250)  2 Sc 2.68, 2 Y 2.90
Au (0.7500, 0.7278, 0.8750)  2 Sc 2.68, 2 Y 2.90
Au (0.7500, 0.7722, 0.3750)  2 Sc 2.68, 2 Y 2.90
Au (0.7722, 0.2500, 0.6250)  2 Sc 2.68, 2 Y 2.90

---

Entry 9:
This record from Alexandria via LeMat-Bulk describes a relaxed Tb2Sm3Dy7 crystal. The functional is GGA-PBE.

Output
Formation energy from the elements   0.97 eV per formula unit
Excess energy over the best structure of this formula in the dataset   0.000 eV/atom
Space-group type   No. 10
Energy   -0.3348 Ry/atom
M_tot   0.000 μB/f.u.

a b c (Å): 6.3402 3.5264 17.4933
angles (deg): 90.00 96.16 90.00
With the nearest neighbours (Å) after each atom.
Positions (direct):
Tb (0.0576, 0.0000, 0.1730)  5 Dy 3.41-3.48, 2 Tb 3.53, 4 Sm 3.61-3.66
Tb (0.9424, 0.0000, 0.8270)  5 Dy 3.41-3.48, 2 Tb 3.53, 4 Sm 3.61-3.66
Sm (0.4515, 0.5000, 0.8410)  2 Sm 3.53, 4 Tb 3.61-3.66, 7 Dy 3.61-3.69
Sm (0.5000, 0.0000, 0.5000)  2 Sm 3.53, 10 Dy 3.56-3.63
Sm (0.5485, 0.5000, 0.1590)  2 Sm 3.53, 4 Tb 3.61-3.66, 7 Dy 3.61-3.69
Dy (0.0000, 0.5000, 0.5000)  8 Dy 3.53-3.57, 4 Sm 3.63
Dy (0.2241, 0.0000, 0.6667)  1 Tb 3.48, 8 Dy 3.53-3.65, 3 Sm 3.56-3.68
Dy (0.2541, 0.0000, 0.9990)  2 Dy 3.11-3.23, 2 Tb 3.41-3.42
Dy (0.2724, 0.5000, 0.3343)  2 Tb 3.48, 7 Dy 3.53-3.65, 3 Sm 3.56-3.69
Dy (0.7276, 0.5000, 0.6657)  2 Tb 3.48, 7 Dy 3.53-3.65, 3 Sm 3.56-3.69
Dy (0.7459, 0.0000, 0.0010)  2 Dy 3.11-3.23, 2 Tb 3.41-3.42
Dy (0.7759, 0.0000, 0.3333)  1 Tb 3.48, 8 Dy 3.53-3.65, 3 Sm 3.56-3.68

---

Entry 10:
This record from Alexandria via LeMat-Bulk describes a relaxed PuInIr crystal. The functional is GGA-PBE.

Output
Formation energy from the elements   -1.29 eV per formula unit
Space-group type   No. 51
Energy   -0.6670 Ry/atom
M_tot   5.027 μB/f.u.

a b c (Å): 13.0441 3.9397 7.6813
angles (deg): 90.00 90.00 90.00
With the nearest neighbours (Å) after each atom.
Positions (direct):
Pu (0.0462, 0.0000, 0.2163)  5 Ir 2.96-3.18
Pu (0.2500, 0.0000, 0.8434)  5 Ir 2.86-3.08
Pu (0.4538, 0.0000, 0.2163)  5 Ir 2.96-3.18
Pu (0.5462, 0.0000, 0.7837)  5 Ir 2.96-3.18
Pu (0.7500, 0.0000, 0.1566)  5 Ir 2.86-3.08
Pu (0.9538, 0.0000, 0.7837)  5 Ir 2.96-3.18
In (0.1166, 0.5000, 0.5620)  3 Ir 2.78-2.83
In (0.2500, 0.5000, 0.1913)  4 Ir 2.76-2.81
In (0.3834, 0.5000, 0.5620)  3 Ir 2.78-2.83
In (0.6166, 0.5000, 0.4380)  3 Ir 2.78-2.83
In (0.7500, 0.5000, 0.8087)  4 Ir 2.76-2.81
In (0.8834, 0.5000, 0.4380)  3 Ir 2.78-2.83
Ir (0.0995, 0.5000, 0.9288)  2 In 2.81-2.83, 1 Ir 2.82, 6 Pu 2.86-3.04
Ir (0.2500, 0.0000, 0.4424)  6 In 2.76-2.78, 1 Pu 3.08
Ir (0.4005, 0.5000, 0.9288)  2 In 2.81-2.83, 1 Ir 2.82, 6 Pu 2.86-3.04
Ir (0.5995, 0.5000, 0.0712)  2 In 2.81-2.83, 1 Ir 2.82, 6 Pu 2.86-3.04
Ir (0.7500, 0.0000, 0.5576)  6 In 2.76-2.78, 1 Pu 3.08
Ir (0.9005, 0.5000, 0.0712)  2 In 2.81-2.83, 1 Ir 2.82, 6 Pu 2.86-3.04

---

Which of these has the highest M_tot? PuInIr